DFT (PBE-GGA) results for a geometry-optimized Mg2ReMo structure.

Calculated values
Spin magnetization   1.811 μB/f.u.
ΔE to the lowest computed polymorph   722 meV/atom
Energy relative to the elements   0.845 eV/atom

a b c (Å): 4.5442 4.5442 4.5442
angles (deg): 60.00 60.00 60.00
Last column: nearest neighbours and their distance in Å.
Fractional coordinates of all 4 atoms:
Mo1 0.0000 0.0000 0.0000  8 Mg 2.78
Mg1 0.7500 0.7500 0.7500  4 Re 2.78, 4 Mo 2.78
Re1 0.5000 0.5000 0.5000  8 Mg 2.78
Mg2 0.2500 0.2500 0.2500  4 Re 2.78, 4 Mo 2.78

***

DFT (PBE-GGA) results for a geometry-optimized UB2Os structure.

Calculated values
Spin magnetization   0.509 μB/f.u.
ΔE to the lowest computed polymorph   0 meV/atom
Energy relative to the elements   -0.344 eV/atom

a b c (Å): 3.7721 5.7474 9.4053
angles (deg): 90.00 90.00 90.00
Last column: nearest neighbours and their distance in Å.
Fractional coordinates of all 16 atoms:
Os1 0.7500 0.3690 0.0734  5 B 2.27-2.36
B1 0.2500 0.0246 0.3309  2 B 1.80-1.81
B2 0.2500 0.7095 0.3241  2 B 1.80-1.81
B3 0.2500 0.2095 0.1759  2 B 1.80-1.81
U1 0.2500 0.6207 0.6292  9 B 2.71-2.91, 3 Os 2.80-2.98
B4 0.7500 0.7905 0.8241  2 B 1.80-1.81
B5 0.7500 0.4754 0.8309  2 B 1.80-1.81
B6 0.2500 0.5246 0.1691  2 B 1.80-1.81
U2 0.7500 0.8793 0.1292  9 B 2.71-2.91, 3 Os 2.80-2.98
B7 0.7500 0.9754 0.6691  2 B 1.80-1.81
B8 0.7500 0.2905 0.6759  2 B 1.80-1.81
Os2 0.2500 0.1310 0.5734  5 B 2.27-2.36
U3 0.2500 0.1207 0.8708  9 B 2.71-2.91, 3 Os 2.80-2.98
U4 0.7500 0.3793 0.3708  9 B 2.71-2.91, 3 Os 2.80-2.98
Os3 0.2500 0.6310 0.9266  5 B 2.27-2.36
Os4 0.7500 0.8690 0.4266  5 B 2.27-2.36

***

DFT (PBE-GGA) results for a geometry-optimized TcOsRh2 structure.

Calculated values
Spin magnetization   0.000 μB/f.u.
ΔE to the lowest computed polymorph   94 meV/atom
Energy relative to the elements   0.033 eV/atom

a b c (Å): 2.6933 2.6933 7.8568
angles (deg): 90.00 90.00 90.00
Last column: nearest neighbours and their distance in Å.
Fractional coordinates of all 4 atoms:
Tc1 0.5000 0.5000 0.2500  4 Tc 2.69, 8 Rh 2.75
Rh1 0.0000 0.0000 0.9975  4 Rh 2.69, 4 Os 2.72, 4 Tc 2.75
Os1 0.5000 0.5000 0.7500  4 Os 2.69, 8 Rh 2.72
Rh2 0.0000 0.0000 0.5025  4 Rh 2.69, 4 Os 2.72, 4 Tc 2.75

***

DFT (PBE-GGA) results for a geometry-optimized Hg2PbS3 structure.

Calculated values
Spin magnetization   0.000 μB/f.u.
E_form (uncorrected)   -0.1477 eV/atom

a b c (Å): 3.9018 7.1484 10.9520
angles (deg): 90.00 90.00 90.00
Last column: nearest neighbours and their distance in Å.
Fractional coordinates of all 12 atoms:
S1 0.0000 0.7441 0.6301  3 Hg 2.53-2.58
Hg1 0.5000 0.2083 0.5151  3 S 2.45-2.53
S2 0.5000 0.1367 0.0670  2 Hg 2.89, 4 Pb 2.97-3.11
S3 0.0000 0.2441 0.3699  3 Hg 2.53-2.58
S4 0.5000 0.2106 0.7384  3 Hg 2.45-2.67
S5 0.5000 0.7106 0.2616  3 Hg 2.45-2.67
Hg2 0.0000 0.4598 0.7758  5 S 2.58-2.89
Pb1 0.0000 0.9418 0.8867  7 S 2.97-3.18
Hg3 0.0000 0.9598 0.2242  5 S 2.58-2.89
Pb2 0.0000 0.4418 0.1133  7 S 2.97-3.18
S6 0.5000 0.6367 0.9330  2 Hg 2.89, 4 Pb 2.97-3.11
Hg4 0.5000 0.7083 0.4849  3 S 2.45-2.53

***

DFT (PBE-GGA) results for a geometry-optimized Bi2Pd7Pt2 structure.

Calculated values
Spin magnetization   0.000 μB/f.u.
ΔE to the lowest computed polymorph   101 meV/atom
Energy relative to the elements   -0.066 eV/atom

a b c (Å): 5.6558 6.4864 5.6558
angles (deg): 100.85 95.96 100.85
Last column: nearest neighbours and their distance in Å.
Fractional coordinates of all 11 atoms:
Pd1 0.5468 0.3294 0.1029  3 Pt 2.73-2.88, 4 Pd 2.76-2.94, 2 Bi 2.81
Pt1 0.6084 0.3515 0.6084  8 Pd 2.73-2.88, 1 Pt 2.86, 2 Bi 2.87
Pd2 0.1765 0.9450 0.1765  4 Bi 2.78-3.00, 6 Pd 2.82-3.06, 1 Pt 2.85
Pd3 0.8235 0.0550 0.8235  4 Bi 2.78-3.00, 6 Pd 2.82-3.06, 1 Pt 2.85
Bi1 0.7192 0.0000 0.2808  8 Pd 2.78-3.00, 2 Pt 2.87
Pd4 0.1029 0.3294 0.5468  3 Pt 2.73-2.88, 4 Pd 2.76-2.94, 2 Bi 2.81
Pd5 0.0000 0.5000 0.0000  6 Pd 2.76-2.82, 2 Pt 2.85
Bi2 0.2808 0.0000 0.7192  8 Pd 2.78-3.00, 2 Pt 2.87
Pt2 0.3916 0.6485 0.3916  8 Pd 2.73-2.88, 1 Pt 2.86, 2 Bi 2.87
Pd6 0.4532 0.6706 0.8971  3 Pt 2.73-2.88, 4 Pd 2.76-2.94, 2 Bi 2.81
Pd7 0.8971 0.6706 0.4532  3 Pt 2.73-2.88, 4 Pd 2.76-2.94, 2 Bi 2.81

***

DFT (PBE-GGA) results for a geometry-optimized TmZnCd structure.

Calculated values
Spin magnetization   0.000 μB/f.u.
Energy relative to the elements   -0.312 eV/atom

a b c (Å): 3.4290 4.6745 8.1752
angles (deg): 90.00 90.00 90.00
Last column: nearest neighbours and their distance in Å.
Fractional coordinates of all 6 atoms:
Cd1 0.8111 0.7160 0.4886  1 Zn 2.71, 2 Cd 2.78
Tm1 0.3117 0.2161 0.6683  6 Zn 3.02-3.16, 4 Cd 3.25
Zn1 0.8119 0.7164 0.8204  2 Zn 2.65, 1 Cd 2.71
Cd2 0.8114 0.2160 0.3043  1 Zn 2.71, 2 Cd 2.78
Tm2 0.3117 0.7161 0.1246  6 Zn 3.02-3.16, 4 Cd 3.25
Zn2 0.8120 0.2164 0.9725  2 Zn 2.65, 1 Cd 2.71

***

DFT (PBE-GGA) results for a geometry-optimized GaSn3N structure.

Calculated values
Spin magnetization   0.000 μB/f.u.
ΔE to the lowest computed polymorph   0 meV/atom
E_form (uncorrected)   0.4855 eV/atom

a b c (Å): 4.8034 4.8034 4.8034
angles (deg): 90.00 90.00 90.00
Last column: nearest neighbours and their distance in Å.
Fractional coordinates of all 5 atoms:
Sn1 0.5000 0.0000 0.0000  2 N 2.40
N1 0.0000 0.0000 0.0000  6 Sn 2.40
Ga1 0.5000 0.5000 0.5000  12 Sn 3.40
Sn2 0.0000 0.5000 0.0000  2 N 2.40
Sn3 0.0000 0.0000 0.5000  2 N 2.40